Run A
ZrPt4 after structural relaxation, computed with GGA-PBE.

Calculated values
Space-group type   Imma (74)

Cell lengths 7.8999, 7.8999, 7.8999 Å; angles 149.37, 137.97, 52.89 degrees
Atoms (fractional coordinates):
Zr  0.3592  0.1092  0.2500
Zr  0.6408  0.8908  0.7500
Pt  0.0000  0.5000  0.5000
Pt  0.1533  0.9033  0.2500
Pt  0.1830  0.6918  0.4912
Pt  0.2993  0.3082  0.9912
Pt  0.5000  0.5000  0.0000
Pt  0.7007  0.6918  0.0088
Pt  0.8170  0.3082  0.5088
Pt  0.8467  0.0967  0.7500

=====

Run B
ZrPt4 after structural relaxation, computed with GGA-PBE.

Calculated values
Space-group type   I4/mmm (139)

Cell lengths 3.7133, 3.7133, 13.2323 Å; angles 90.00, 90.00, 90.00 degrees
Atoms (fractional coordinates):
Zr  0.0000  0.0000  0.0000
Zr  0.5000  0.5000  0.5000
Pt  0.0000  0.0000  0.4025
Pt  0.0000  0.0000  0.5975
Pt  0.0000  0.5000  0.2500
Pt  0.0000  0.5000  0.7500
Pt  0.5000  0.0000  0.2500
Pt  0.5000  0.0000  0.7500
Pt  0.5000  0.5000  0.0975
Pt  0.5000  0.5000  0.9025

=====

Run C
ZrPt4 after structural relaxation, computed with GGA-PBE.

Calculated values
Space-group type   I4/m (87)

Cell lengths 6.4083, 6.4083, 4.0550 Å; angles 90.00, 90.00, 90.00 degrees
Atoms (fractional coordinates):
Zr  0.0000  0.0000  0.0000
Zr  0.5000  0.5000  0.5000
Pt  0.0982  0.3024  0.5000
Pt  0.1976  0.5982  0.0000
Pt  0.3024  0.9018  0.5000
Pt  0.4018  0.1976  0.0000
Pt  0.5982  0.8024  0.0000
Pt  0.6976  0.0982  0.5000
Pt  0.8024  0.4018  0.0000
Pt  0.9018  0.6976  0.5000

=====

Stability comparison, relative energies in meV per atom: run A 0; run B 340; run C 76

=====

Run A
Rb2PuS3 after structural relaxation, computed with GGA-PBE.

Calculated values
Space-group type   C2/m (12)

Cell lengths 7.3836, 7.3836, 8.0767 Å; angles 99.02, 99.02, 119.92 degrees
Atoms (fractional coordinates):
Rb  0.0000  0.0000  0.0000
Rb  0.1535  0.8465  0.5000
Rb  0.5000  0.5000  0.5000
Rb  0.8465  0.1535  0.5000
Pu  0.3325  0.6675  0.0000
Pu  0.6675  0.3325  0.0000
S  0.0675  0.4550  0.1957
S  0.3198  0.3198  0.8073
S  0.4550  0.0675  0.1957
S  0.5450  0.9325  0.8043
S  0.6802  0.6802  0.1927
S  0.9325  0.5450  0.8043

=====

Run B
Rb2PuS3 after structural relaxation, computed with GGA-PBE.

Calculated values
Space-group type   Cmcm (63)

Cell lengths 9.2220, 9.2220, 5.8370 Å; angles 90.00, 90.00, 66.27 degrees
Atoms (fractional coordinates):
Rb  0.0445  0.3042  0.2500
Rb  0.3042  0.0445  0.7500
Rb  0.6958  0.9555  0.2500
Rb  0.9555  0.6958  0.7500
Pu  0.3562  0.6438  0.2500
Pu  0.6438  0.3562  0.7500
S  0.0786  0.6546  0.2500
S  0.3454  0.9214  0.2500
S  0.3801  0.6199  0.7500
S  0.6199  0.3801  0.2500
S  0.6546  0.0786  0.7500
S  0.9214  0.3454  0.7500

=====

Stability comparison, relative energies in meV per atom: run A 0; run B 186